## Pr2CuIr (GGA-PBE)

Data for an optimized crystal structure of Pr2CuIr.

Output
Total DFT energy (no corrections) ... -6.009 eV per atom
V ... 92.72 Å³/cell
DOS at the Fermi energy ... 2.83 states/eV/f.u.
Formation enthalpy at 0 K ... -147 kJ/mol of formula units

Lattice parameters (Å, degrees): 5.0763 5.0763 5.0688 119.77 119.77 90.35
With the nearest neighbours (Å) after each atom.
Positions (direct):
Pr: 0.2500 0.7500 0.0000  4 Cu 3.11, 4 Ir 3.11
Pr: 0.7500 0.2500 0.0000  4 Cu 3.11, 4 Ir 3.11
Cu: 0.0000 0.0000 0.5000  8 Pr 3.11
Ir: 0.5000 0.5000 0.5000  8 Pr 3.11